A geometry-optimized NbAu structure, computed with PBE-GGA.

## Properties
formation energy: 0.881 eV/atom
E: -5.792 eV/atom

```
data_NbAu
_cell_length_a 4.5557
_cell_length_b 4.5557
_cell_length_c 5.4478
_cell_angle_alpha 90.00
_cell_angle_beta 90.00
_cell_angle_gamma 120.00
_space_group_name_H-M_alt 'P 63/m m c'
_space_group_IT_number 194
_space_group_name_Hall '-P 6c 2c'
loop_
_atom_site_label
_atom_site_fract_x
_atom_site_fract_y
_atom_site_fract_z
Nb1 0.3333 0.6667 0.2500
Au1 0.3333 0.6667 0.7500
```


A geometry-optimized Nb3Au structure, computed with PBE-GGA.

## Properties
formation energy: -0.094 eV/atom
polymorph energy (0 for the lowest one): 0 meV/atom
E: -8.466 eV/atom

```
data_Nb3Au
_cell_length_a 3.513
_cell_length_b 4.408
_cell_length_c 9.318
_cell_angle_alpha 90.00
_cell_angle_beta 90.00
_cell_angle_gamma 90.00
_space_group_name_H-M_alt 'C m m m'
_space_group_IT_number 65
_space_group_name_Hall '-C 2 2'
loop_
_atom_site_label
_atom_site_fract_x
_atom_site_fract_y
_atom_site_fract_z
Nb1 0.000 0.000 0.000
Nb2 0.000 0.500 0.251
Au1 0.000 0.000 0.500
```


A geometry-optimized NbAu3 structure, computed with PBE-GGA.

## Properties
formation energy: 0.067 eV/atom
E: -4.908 eV/atom

```
data_NbAu3
_cell_length_a 2.853
_cell_length_b 10.121
_cell_length_c 5.090
_cell_angle_alpha 90.00
_cell_angle_beta 90.00
_cell_angle_gamma 90.00
_space_group_name_H-M_alt 'I m m 2'
_space_group_IT_number 44
_space_group_name_Hall 'I 2 -2'
loop_
_atom_site_label
_atom_site_fract_x
_atom_site_fract_y
_atom_site_fract_z
Nb1 0.000 0.000 0.000
Au1 0.000 0.257 0.541
Au2 0.000 0.500 0.002
```


A geometry-optimized NbAu structure, computed with PBE-GGA.

## Properties
formation energy: -0.055 eV/atom
E: -6.728 eV/atom

```
data_NbAu
_cell_length_a 10.165
_cell_length_b 4.773
_cell_length_c 5.867
_cell_angle_alpha 90.00
_cell_angle_beta 90.00
_cell_angle_gamma 90.00
_space_group_name_H-M_alt 'P n m a'
_space_group_IT_number 62
_space_group_name_Hall '-P 2ac 2n'
loop_
_atom_site_label
_atom_site_fract_x
_atom_site_fract_y
_atom_site_fract_z
Nb1 0.074 0.250 0.242
Nb2 0.173 0.750 0.988
Au1 0.079 0.250 0.746
Au2 0.168 0.750 0.499
```


A geometry-optimized NbAu structure, computed with PBE-GGA.

## Properties
formation energy: 1.197 eV/atom
E: -5.476 eV/atom

```
data_NbAu
_cell_length_a 5.980
_cell_length_b 5.980
_cell_length_c 5.980
_cell_angle_alpha 90.00
_cell_angle_beta 90.00
_cell_angle_gamma 90.00
_space_group_name_H-M_alt 'F -4 3 m'
_space_group_IT_number 216
_space_group_name_Hall 'F -4 2 3'
loop_
_atom_site_label
_atom_site_fract_x
_atom_site_fract_y
_atom_site_fract_z
Nb1 0.000 0.000 0.000
Au1 0.250 0.250 0.750
```


A geometry-optimized Nb3Au structure, computed with PBE-GGA.

## Properties
formation energy: 0.002 eV/atom
polymorph energy (0 for the lowest one): 96 meV/atom
E: -8.370 eV/atom

```
data_Nb3Au
_cell_length_a 4.124
_cell_length_b 4.124
_cell_length_c 8.520
_cell_angle_alpha 90.00
_cell_angle_beta 90.00
_cell_angle_gamma 90.00
_space_group_name_H-M_alt 'I 4/m m m'
_space_group_IT_number 139
_space_group_name_Hall '-I 4 2'
loop_
_atom_site_label
_atom_site_fract_x
_atom_site_fract_y
_atom_site_fract_z
Nb1 0.000 0.000 0.000
Nb2 0.000 0.500 0.250
Au1 0.000 0.000 0.500
```


A geometry-optimized Nb5Au2 structure, computed with PBE-GGA.

## Properties
formation energy: -0.102 eV/atom
E: -8.231 eV/atom

```
data_Nb5Au2
_cell_length_a 3.387
_cell_length_b 3.387
_cell_length_c 22.171
_cell_angle_alpha 90.00
_cell_angle_beta 90.00
_cell_angle_gamma 90.00
_space_group_name_H-M_alt 'I 4/m m m'
_space_group_IT_number 139
_space_group_name_Hall '-I 4 2'
loop_
_atom_site_label
_atom_site_fract_x
_atom_site_fract_y
_atom_site_fract_z
Nb1 0.000 0.000 0.000
Nb2 0.000 0.000 0.144
Nb3 0.000 0.000 0.426
Au1 0.000 0.000 0.286
```


A geometry-optimized NbAu6 structure, computed with PBE-GGA.

## Properties
formation energy: 1.331 eV/atom
E: -2.917 eV/atom

```
data_NbAu6
_cell_length_a 7.353
_cell_length_b 7.353
_cell_length_c 7.353
_cell_angle_alpha 90.00
_cell_angle_beta 90.00
_cell_angle_gamma 90.00
_space_group_name_H-M_alt 'I m -3 m'
_space_group_IT_number 229
_space_group_name_Hall '-I 4 2 3'
loop_
_atom_site_label
_atom_site_fract_x
_atom_site_fract_y
_atom_site_fract_z
Nb1 0.000 0.000 0.000
Au1 0.000 0.250 0.500
```